No. 1
A plane-wave DFT calculation with meta-GGA SCAN was carried out for a PBEsol-optimized structure of Hg2AuSe.

Cell: 3.9842 3.9842 5.6457 Å, 90.00 90.00 89.97°
Last column: nearest neighbours and their distance in Å.
Element x y z (fractional)
Hg 0.5000 0.5000 0.6251  4 Se 2.82, 2 Au 2.82
Hg 0.0000 0.0000 0.1250  4 Au 2.82, 2 Se 2.82
Au 0.5000 0.5000 0.1250  6 Hg 2.82
Se 0.0000 0.0000 0.6249  6 Hg 2.82

Raw formation energy   1.40 kcal/mol of atoms
SG   P4/mmm (123)
Uncorrected energy   -225.325 eV per cell

=====

No. 2
A plane-wave DFT calculation with meta-GGA SCAN was carried out for a PBEsol-optimized structure of Hg2AuSe.

Cell: 4.4263 5.1932 4.4263 Å, 64.78 90.00 115.22°
Last column: nearest neighbours and their distance in Å.
Element x y z (fractional)
Au 0.7500 0.5000 0.7500  4 Se 3.03, 8 Hg 3.03-3.13
Hg 0.2500 0.5000 0.2500  4 Hg 3.03, 4 Se 3.03, 4 Au 3.13
Hg 0.0000 0.0000 0.0000  4 Au 3.03, 4 Hg 3.03, 4 Se 3.13
Se 0.5000 0.0000 0.5000  8 Hg 3.03-3.13, 4 Au 3.03

Raw formation energy   7.14 kcal/mol of atoms
SG   I-4m2 (119)
Uncorrected energy   -224.329 eV per cell

=====

No. 3
A plane-wave DFT calculation with meta-GGA SCAN was carried out for a PBEsol-optimized structure of SiHg2Au.

Cell: 2.9336 2.9336 8.9068 Å, 90.00 90.00 90.00°
Last column: nearest neighbours and their distance in Å.
Element x y z (fractional)
Au 0.5000 0.5000 0.5000  4 Au 2.93, 8 Hg 3.03
Hg 0.0000 0.0000 0.2524  4 Hg 2.93, 4 Au 3.03, 4 Si 3.06
Hg 0.0000 0.0000 0.7476  4 Hg 2.93, 4 Au 3.03, 4 Si 3.06
Si 0.5000 0.5000 0.0000  4 Si 2.93, 8 Hg 3.06

Raw formation energy   10.11 kcal/mol of atoms
SG   P4/mmm (123)
Uncorrected energy   -213.751 eV per cell